Entry 1:
The following is a DFT calculation (PBE) of a relaxed structure of BaTaNi2.

CIF file:
```
data_BaTaNi2
_cell_length_a 5.096
_cell_length_b 5.096
_cell_length_c 5.096
_cell_angle_alpha 131.63
_cell_angle_beta 111.44
_cell_angle_gamma 88.29
_space_group_name_H-M_alt 'P 1'
_space_group_IT_number 1
loop_
_space_group_symop_operation_xyz
'x,y,z'
loop_
_atom_site_label
_atom_site_type_symbol
_atom_site_fract_x
_atom_site_fract_y
_atom_site_fract_z
Ba1 Ba 0.250 0.750 0.500
Ni1 Ni 0.936 0.936 0.000
Ni2 Ni 0.564 0.564 0.000
Ta1 Ta 0.750 0.250 0.500
```

Results
excess energy over the best structure of this formula in the dataset: 599.6 meV/atom
space group: Immm, No. 71
DOS at the Fermi energy: 5.0 states/eV per cell
energy of formation: 674 meV/atom
total magnetization: 0.053 μB/atom

---

Entry 2:
The following is a DFT calculation (PBE) of a relaxed structure of BaTaNi2.

CIF file:
```
data_BaTaNi2
_cell_length_a 4.658
_cell_length_b 4.658
_cell_length_c 4.658
_cell_angle_alpha 60.00
_cell_angle_beta 60.00
_cell_angle_gamma 60.00
_space_group_name_H-M_alt 'P 1'
_space_group_IT_number 1
loop_
_space_group_symop_operation_xyz
'x,y,z'
loop_
_atom_site_label
_atom_site_type_symbol
_atom_site_fract_x
_atom_site_fract_y
_atom_site_fract_z
Ba1 Ba 0.500 0.500 0.500
Ni1 Ni 0.000 0.000 0.000
Ni2 Ni 0.250 0.250 0.250
Ta1 Ta 0.750 0.750 0.750
```

Results
excess energy over the best structure of this formula in the dataset: 862.6 meV/atom
space group: F-43m, No. 216
DOS at the Fermi energy: 3.0 states/eV per cell
energy of formation: 937 meV/atom
total magnetization: 0.000 μB/atom

---

Entry 3:
The following is a DFT calculation (PBE) of a relaxed structure of BaTa3Ni.

CIF file:
```
data_BaTa3Ni
_cell_length_a 4.837
_cell_length_b 4.837
_cell_length_c 4.837
_cell_angle_alpha 90.00
_cell_angle_beta 90.00
_cell_angle_gamma 90.00
_space_group_name_H-M_alt 'P 1'
_space_group_IT_number 1
loop_
_space_group_symop_operation_xyz
'x,y,z'
loop_
_atom_site_label
_atom_site_type_symbol
_atom_site_fract_x
_atom_site_fract_y
_atom_site_fract_z
Ni1 Ni 0.000 0.000 0.000
Ba1 Ba 0.500 0.500 0.500
Ta1 Ta 0.000 0.500 0.000
Ta2 Ta 0.000 0.000 0.500
Ta3 Ta 0.500 0.000 0.000
```

Results
excess energy over the best structure of this formula in the dataset: 0.0 meV/atom
space group: Pm-3m, No. 221
DOS at the Fermi energy: 8.8 states/eV per cell
energy of formation: 1138 meV/atom
total magnetization: 0.000 μB/atom

---

Entry 4:
The following is a DFT calculation (PBE) of a relaxed structure of BaTaNi3.

CIF file:
```
data_BaTaNi3
_cell_length_a 4.738
_cell_length_b 4.738
_cell_length_c 4.738
_cell_angle_alpha 90.00
_cell_angle_beta 90.00
_cell_angle_gamma 90.00
_space_group_name_H-M_alt 'P 1'
_space_group_IT_number 1
loop_
_space_group_symop_operation_xyz
'x,y,z'
loop_
_atom_site_label
_atom_site_type_symbol
_atom_site_fract_x
_atom_site_fract_y
_atom_site_fract_z
Ni1 Ni 0.000 0.500 0.000
Ni2 Ni 0.000 0.000 0.500
Ni3 Ni 0.500 0.000 0.000
Ba1 Ba 0.000 0.000 0.000
Ta1 Ta 0.500 0.500 0.500
```

Results
excess energy over the best structure of this formula in the dataset: 1613.7 meV/atom
space group: Pm-3m, No. 221
DOS at the Fermi energy: 11.9 states/eV per cell
energy of formation: 2186 meV/atom
total magnetization: 0.005 μB/atom

---

Entry 5:
The following is a DFT calculation (PBE) of a relaxed structure of BaTaNi2.

CIF file:
```
data_BaTaNi2
_cell_length_a 5.042
_cell_length_b 7.717
_cell_length_c 2.974
_cell_angle_alpha 67.35
_cell_angle_beta 89.84
_cell_angle_gamma 130.66
_space_group_name_H-M_alt 'P 1'
_space_group_IT_number 1
loop_
_space_group_symop_operation_xyz
'x,y,z'
loop_
_atom_site_label
_atom_site_type_symbol
_atom_site_fract_x
_atom_site_fract_y
_atom_site_fract_z
Ba1 Ba 0.500 0.000 0.500
Ni1 Ni 0.000 0.000 0.000
Ni2 Ni 0.000 0.500 0.500
Ta1 Ta 0.500 0.500 0.000
```

Results
excess energy over the best structure of this formula in the dataset: 504.2 meV/atom
space group: C2/m, No. 12
DOS at the Fermi energy: 2.6 states/eV per cell
energy of formation: 579 meV/atom
total magnetization: 0.000 μB/atom

---

Entry 6:
The following is a DFT calculation (PBE) of a relaxed structure of BaTaNi2.

CIF file:
```
data_BaTaNi2
_cell_length_a 5.965
_cell_length_b 5.965
_cell_length_c 5.965
_cell_angle_alpha 151.32
_cell_angle_beta 131.32
_cell_angle_gamma 57.48
_space_group_name_H-M_alt 'P 1'
_space_group_IT_number 1
loop_
_space_group_symop_operation_xyz
'x,y,z'
loop_
_atom_site_label
_atom_site_type_symbol
_atom_site_fract_x
_atom_site_fract_y
_atom_site_fract_z
Ba1 Ba 0.243 0.743 0.500
Ni1 Ni 0.965 0.965 0.000
Ni2 Ni 0.754 0.254 0.500
Ta1 Ta 0.537 0.537 0.000
```

Results
excess energy over the best structure of this formula in the dataset: 604.2 meV/atom
space group: Imm2, No. 44
DOS at the Fermi energy: 3.9 states/eV per cell
energy of formation: 679 meV/atom
total magnetization: 0.000 μB/atom

---

Entry 7:
The following is a DFT calculation (PBE) of a relaxed structure of BaTaNi2.

CIF file:
```
data_BaTaNi2
_cell_length_a 4.287
_cell_length_b 4.287
_cell_length_c 6.326
_cell_angle_alpha 70.26
_cell_angle_beta 70.26
_cell_angle_gamma 59.99
_space_group_name_H-M_alt 'P 1'
_space_group_IT_number 1
loop_
_space_group_symop_operation_xyz
'x,y,z'
loop_
_atom_site_label
_atom_site_type_symbol
_atom_site_fract_x
_atom_site_fract_y
_atom_site_fract_z
Ba1 Ba 0.250 0.250 0.250
Ni1 Ni 0.060 0.060 0.819
Ni2 Ni 0.440 0.440 0.681
Ta1 Ta 0.750 0.750 0.750
```

Results
excess energy over the best structure of this formula in the dataset: 44.5 meV/atom
space group: C2/m, No. 12
DOS at the Fermi energy: 5.4 states/eV per cell
energy of formation: 119 meV/atom
total magnetization: 0.000 μB/atom

---

Entry 8:
The following is a DFT calculation (PBE) of a relaxed structure of BaTa2VNi.

CIF file:
```
data_BaTa2VNi
_cell_length_a 5.108
_cell_length_b 4.558
_cell_length_c 5.108
_cell_angle_alpha 90.00
_cell_angle_beta 90.00
_cell_angle_gamma 90.00
_space_group_name_H-M_alt 'P 1'
_space_group_IT_number 1
loop_
_space_group_symop_operation_xyz
'x,y,z'
loop_
_atom_site_label
_atom_site_type_symbol
_atom_site_fract_x
_atom_site_fract_y
_atom_site_fract_z
Ni1 Ni 0.000 0.500 0.000
V1 V 0.500 0.500 0.500
Ba1 Ba 0.000 0.000 0.000
Ta1 Ta 0.000 0.000 0.500
Ta2 Ta 0.500 0.000 0.000
```

Results
space group: P4/mmm, No. 123
DOS at the Fermi energy: 6.5 states/eV per cell
energy of formation: 2941 meV/atom
total magnetization: 0.000 μB/atom

---

total magnetization of number 1 (BaTaNi2)?
0.053 μB/atom

---

The highest DOS at the Fermi energy belongs to which entry?
BaTaNi3

---

Repeat the third record exactly.
The following is a DFT calculation (PBE) of a relaxed structure of BaTa3Ni.

CIF file:
```
data_BaTa3Ni
_cell_length_a 4.837
_cell_length_b 4.837
_cell_length_c 4.837
_cell_angle_alpha 90.00
_cell_angle_beta 90.00
_cell_angle_gamma 90.00
_space_group_name_H-M_alt 'P 1'
_space_group_IT_number 1
loop_
_space_group_symop_operation_xyz
'x,y,z'
loop_
_atom_site_label
_atom_site_type_symbol
_atom_site_fract_x
_atom_site_fract_y
_atom_site_fract_z
Ni1 Ni 0.000 0.000 0.000
Ba1 Ba 0.500 0.500 0.500
Ta1 Ta 0.000 0.500 0.000
Ta2 Ta 0.000 0.000 0.500
Ta3 Ta 0.500 0.000 0.000
```

Results
excess energy over the best structure of this formula in the dataset: 0.0 meV/atom
space group: Pm-3m, No. 221
DOS at the Fermi energy: 8.8 states/eV per cell
energy of formation: 1138 meV/atom
total magnetization: 0.000 μB/atom

---

The lowest DOS at the Fermi energy belongs to which entry?
number 5